[1]
## Nd3O (PBE-GGA)

Data for an optimized crystal structure of Nd3O.

Properties
- D(E_F): 5.223 states/eV/cell
- E_form (uncorrected): -1.150 eV/atom
- Energy above the most stable polymorph in this dataset: 0.0 meV per atom
- V: 31.8 Å³/atom

Cell lengths 3.769, 3.769, 8.964 Å; angles 90.00, 90.00, 90.00 degrees
Space group P-4m2 (No. 115)
One atom of each set of equivalent atoms:
1 Nd 0.000 0.000 0.000 (multiplicity 1)
2 Nd 0.000 0.500 0.649 (multiplicity 2)
3 O 0.500 0.500 0.500 (multiplicity 1)

[2]
## Nd2O3 (PBE-GGA)

Data for an optimized crystal structure of Nd2O3.

Properties
- D(E_F): 0.000 states/eV/cell
- E_form (uncorrected): -3.244 eV/atom
- V: 15.0 Å³/atom

Cell lengths 9.298, 3.495, 9.249 Å; angles 90.00, 90.00, 90.00 degrees
Space group Pnma (No. 62)
One atom of each set of equivalent atoms:
1 Nd 0.004 0.250 0.185 (multiplicity 4)
2 Nd 0.186 0.250 0.511 (multiplicity 4)
3 O 0.045 0.750 0.373 (multiplicity 4)
4 O 0.114 0.250 0.943 (multiplicity 4)
5 O 0.226 0.750 0.688 (multiplicity 4)

Q: What is the formula in the first record?
A: Nd3O

Q: The highest E_form (uncorrected) belongs to which entry?
A: Nd3O

Q: The lowest V belongs to which entry?
A: Nd2O3